# 1
This record from Alexandria via LeMat-Bulk describes crystalline Ca3Nb3ReN8 at its relaxed geometry. The functional is PBE-GGA.

Output
The space group is R-3m. Its energy relative to the elements, uncorrected is -82 kJ per mole of atoms. The value obtained for the calculated volume is 190.83 Å³/f.u.

extended XYZ file:
```
15
Lattice="3.1224 1.8027 5.6500 -3.1224 1.8027 5.6500 0.0000 -3.6054 5.6500" Properties=species:S:1:pos:R:3 pbc="T T T"
Ca -1.5612 -0.9013 5.6500
Ca -1.5612 0.9013 11.3001
Ca 0.0000 1.8027 5.6500
Nb -3.1224 0.0000 8.4750
Nb -1.5612 0.9013 2.8250
Nb 1.5612 0.9013 2.8250
Re 0.0000 0.0000 8.4751
N 0.0000 0.0000 4.0588
N -1.5319 -0.8845 9.6372
N 0.0000 -1.7689 7.3129
N -1.5319 0.8845 7.3129
N 1.5319 -0.8845 9.6372
N 0.0000 1.7689 9.6372
N 1.5319 0.8845 7.3129
N 0.0000 0.0000 12.8913
```

# 2
This record from Alexandria via LeMat-Bulk describes crystalline CaNbRhN2 at its relaxed geometry. The functional is PBE-GGA.

Output
The space group is P4/mmm. Its energy relative to the elements, uncorrected is 225 kJ per mole of atoms. The value obtained for the calculated volume is 96.94 Å³/f.u.

extended XYZ file:
```
5
Lattice="4.0561 0.0000 0.0000 0.0000 4.0561 0.0000 0.0000 0.0000 5.8927" Properties=species:S:1:pos:R:3 pbc="T T T"
Ca 0.0000 0.0000 0.0000
Nb 0.0000 0.0000 2.9463
Rh 2.0280 2.0280 2.9463
N 0.0000 2.0280 0.0000
N 2.0280 0.0000 0.0000
```